[1]
An optimized crystal structure of HgSb2Se, computed with PBE.

Output
E above lowest polymorph = 94 meV per atom
DFT total energy = -2.92 eV per atom
symmetry = C2/m
uncorrected formation energy = 90.4 meV per atom

Cell: 6.008 6.008 8.121 Å, 51.88 51.88 37.45°
Fractional positions:
1 Sb 0.487 0.487 0.621
2 Sb 0.013 0.013 0.879
3 Hg 0.250 0.250 0.250
4 Se 0.750 0.750 0.750

=====

[2]
An optimized crystal structure of CsK5Hg2, computed with PBE.

Output
DFT total energy = -0.98 eV per atom
symmetry = Immm
formation energy from the elements = -0.92 eV per formula unit

Cell: 5.845 9.373 9.373 Å, 73.64 71.83 71.83°
Fractional positions:
1 Hg 0.739 0.761 0.761
2 Hg 0.261 0.239 0.239
3 K 0.335 0.853 0.477
4 K 0.335 0.477 0.853
5 K 0.665 0.523 0.147
6 K 0.000 0.500 0.500
7 K 0.665 0.147 0.523
8 Cs 0.000 0.000 0.000